[1]
# Tb4TmTe5 PBE-GGA optimized geometry
# Density of states at the Fermi level: 8.32 states/eV/cell
# Formation energy from raw total energies: -1288 meV/atom
# Size of the total moment: 0.00 μB per formula unit
# Offset from the most stable computed form: 0.0 meV/atom
data_Tb4TmTe5
_cell_length_a 4.2919
_cell_length_b 4.2919
_cell_length_c 31.9381
_cell_angle_alpha 90.00
_cell_angle_beta 90.00
_cell_angle_gamma 90.00
_space_group_name_H-M_alt 'I 4/m m m'
_space_group_IT_number 139
_space_group_name_Hall '-I 4 2'
loop_
_atom_site_label
_atom_site_fract_x
_atom_site_fract_y
_atom_site_fract_z
Tb1 0.0000 0.0000 0.1094
Tb2 0.0000 0.0000 0.3118
Tm1 0.0000 0.0000 0.5000
Te1 0.0000 0.0000 0.0000
Te2 0.0000 0.0000 0.2075
Te3 0.0000 0.0000 0.4069

***

[2]
# TbTmTe6 PBE-GGA optimized geometry
# Density of states at the Fermi level: 5.69 states/eV/cell
# Formation energy from raw total energies: -892 meV/atom
# Size of the total moment: 0.00 μB per formula unit
data_TbTmTe6
_cell_length_a 4.3369
_cell_length_b 4.3343
_cell_length_c 26.6167
_cell_angle_alpha 90.00
_cell_angle_beta 90.00
_cell_angle_gamma 90.00
_space_group_name_H-M_alt 'A m m 2'
_space_group_IT_number 38
_space_group_name_Hall 'A 2 -2'
loop_
_atom_site_label
_atom_site_fract_x
_atom_site_fract_y
_atom_site_fract_z
Tb1 0.0000 0.0000 0.0000
Tm1 0.5000 0.0000 0.6545
Te1 0.0000 0.0000 0.1204
Te2 0.0000 0.0000 0.4055
Te3 0.0000 0.0000 0.7478
Te4 0.5000 0.0000 0.2480
Te5 0.5000 0.0000 0.5357
Te6 0.5000 0.0000 0.9056

***

[3]
# TbTm3Te6 PBE-GGA optimized geometry
# Density of states at the Fermi level: 0.00 states/eV/cell
# Formation energy from raw total energies: -1292 meV/atom
# Size of the total moment: 0.00 μB per formula unit
# Offset from the most stable computed form: 56.3 meV/atom
data_TbTm3Te6
_cell_length_a 12.7269
_cell_length_b 12.7269
_cell_length_c 15.3700
_cell_angle_alpha 90.00
_cell_angle_beta 90.00
_cell_angle_gamma 120.00
_space_group_name_H-M_alt 'R -3'
_space_group_IT_number 148
_space_group_name_Hall '-R 3'
loop_
_atom_site_label
_atom_site_fract_x
_atom_site_fract_y
_atom_site_fract_z
Tb1 0.0000 0.0000 0.0000
Tb2 0.0000 0.0000 0.5000
Tm1 0.0569 0.7821 0.2000
Te1 0.0158 0.8043 0.3930
Te2 0.0337 0.8363 0.8736

***

[4]
# Tb2TmTe2 PBE-GGA optimized geometry
# Density of states at the Fermi level: 7.94 states/eV/cell
# Formation energy from raw total energies: -978 meV/atom
# Size of the total moment: 0.00 μB per formula unit
data_Tb2TmTe2
_cell_length_a 6.1792
_cell_length_b 4.0967
_cell_length_c 12.0521
_cell_angle_alpha 90.00
_cell_angle_beta 100.08
_cell_angle_gamma 90.00
_space_group_name_H-M_alt 'P 1 21/m 1'
_space_group_IT_number 11
_space_group_name_Hall '-P 2yb'
loop_
_atom_site_label
_atom_site_fract_x
_atom_site_fract_y
_atom_site_fract_z
Tb1 0.1080 0.2500 0.2389
Tb2 0.2791 0.2500 0.6223
Tm1 0.2085 0.2500 0.9655
Te1 0.2366 0.7500 0.4275
Te2 0.4172 0.7500 0.8210

***

[5]
# TbTm3Te2 PBE-GGA optimized geometry
# Density of states at the Fermi level: 19.12 states/eV/cell
# Formation energy from raw total energies: -801 meV/atom
# Size of the total moment: 0.00 μB per formula unit
data_TbTm3Te2
_cell_length_a 16.1387
_cell_length_b 4.0730
_cell_length_c 11.2643
_cell_angle_alpha 90.00
_cell_angle_beta 109.60
_cell_angle_gamma 90.00
_space_group_name_H-M_alt 'C 1 2/m 1'
_space_group_IT_number 12
_space_group_name_Hall '-C 2y'
loop_
_atom_site_label
_atom_site_fract_x
_atom_site_fract_y
_atom_site_fract_z
Tb1 0.1191 0.0000 0.0466
Tm1 0.0596 0.0000 0.4044
Tm2 0.1247 0.5000 0.6608
Tm3 0.2161 0.5000 0.3781
Te1 0.0144 0.5000 0.1684
Te2 0.2293 0.0000 0.8581

***

[6]
# TbTm8Te2 PBE-GGA optimized geometry
# Density of states at the Fermi level: 24.23 states/eV/cell
# Formation energy from raw total energies: -139 meV/atom
# Size of the total moment: 0.00 μB per formula unit
data_TbTm8Te2
_cell_length_a 17.7187
_cell_length_b 11.1506
_cell_length_c 3.7908
_cell_angle_alpha 90.00
_cell_angle_beta 95.86
_cell_angle_gamma 90.00
_space_group_name_H-M_alt 'C 1 2/m 1'
_space_group_IT_number 12
_space_group_name_Hall '-C 2y'
loop_
_atom_site_label
_atom_site_fract_x
_atom_site_fract_y
_atom_site_fract_z
Tb1 0.0000 0.0000 0.0000
Tm1 0.0699 0.5000 0.2808
Tm2 0.0858 0.2596 0.7810
Tm3 0.2274 0.5000 0.8581
Te1 0.1382 0.0000 0.5704

***

> Which value of size of the total moment does entry 4 give?

0.00 μB per formula unit